Record 1
{
  "formula": "Na2Li2ZrS4",
  "functional": "PBE-GGA",
  "state": "optimized geometry",
  "e_form_raw_mev_per_atom": -1357,
  "total_energy_ev_per_atom": -4.860,
  "lattice_angstrom": [[7.199, -1.909, 0.000], [7.199, 1.909, 0.000], [-3.341, 0.000, 6.524]],
  "species": ["Na", "Na", "Li", "Li", "Zr", "S", "S", "S", "S"],
  "fractional_positions": [[0.151, 0.151, 0.039], [0.849, 0.849, 0.961], [0.322, 0.322, 0.526], [0.678, 0.678, 0.474], [0.000, 0.000, 0.500], [0.204, 0.204, 0.686], [0.498, 0.498, 0.255], [0.502, 0.502, 0.745], [0.796, 0.796, 0.314]]
}

=====

Record 2
{
  "formula": "Na4LiZr3S8",
  "functional": "PBE-GGA",
  "state": "optimized geometry",
  "e_form_raw_mev_per_atom": -1457,
  "total_energy_ev_per_atom": -5.573,
  "lattice_angstrom": [[3.758, 2.170, 6.662], [-3.758, 2.170, 6.662], [0.000, -4.339, 6.662]],
  "species": ["Na", "Na", "Na", "Na", "Li", "Zr", "Zr", "Zr", "S", "S", "S", "S", "S", "S", "S", "S"],
  "fractional_positions": [[0.000, 0.000, 0.000], [0.000, 0.500, 0.500], [0.500, 0.000, 0.500], [0.500, 0.500, 0.000], [0.500, 0.500, 0.500], [0.000, 0.000, 0.500], [0.000, 0.500, 0.000], [0.500, 0.000, 0.000], [0.233, 0.743, 0.743], [0.241, 0.241, 0.241], [0.257, 0.257, 0.767], [0.257, 0.767, 0.257], [0.743, 0.233, 0.743], [0.743, 0.743, 0.233], [0.759, 0.759, 0.759], [0.767, 0.257, 0.257]]
}

=====

Record 3
{
  "formula": "NaLiZr2S4",
  "functional": "PBE-GGA",
  "state": "optimized geometry",
  "e_form_raw_mev_per_atom": -1433,
  "total_energy_ev_per_atom": -6.038,
  "lattice_angstrom": [[1.868, -6.159, 0.000], [1.868, 6.159, 0.000], [0.000, 0.000, 13.373]],
  "species": ["Na", "Na", "Li", "Li", "Zr", "Zr", "Zr", "Zr", "S", "S", "S", "S", "S", "S", "S", "S"],
  "fractional_positions": [[0.114, 0.886, 0.750], [0.886, 0.114, 0.250], [0.161, 0.839, 0.250], [0.839, 0.161, 0.750], [0.372, 0.628, 0.559], [0.372, 0.628, 0.941], [0.628, 0.372, 0.059], [0.628, 0.372, 0.441], [0.000, 0.000, 0.000], [0.000, 0.000, 0.500], [0.273, 0.727, 0.112], [0.273, 0.727, 0.388], [0.445, 0.555, 0.750], [0.555, 0.445, 0.250], [0.727, 0.273, 0.612], [0.727, 0.273, 0.888]]
}

=====

Record 4
{
  "formula": "NaLi4Zr3S8",
  "functional": "PBE-GGA",
  "state": "optimized geometry",
  "e_form_raw_mev_per_atom": -1461,
  "total_energy_ev_per_atom": -5.688,
  "lattice_angstrom": [[3.730, 2.154, 6.114], [-3.730, 2.154, 6.114], [0.000, -4.307, 6.114]],
  "species": ["Na", "Li", "Li", "Li", "Li", "Zr", "Zr", "Zr", "S", "S", "S", "S", "S", "S", "S", "S"],
  "fractional_positions": [[0.000, 0.000, 0.000], [0.000, 0.000, 0.500], [0.000, 0.500, 0.000], [0.500, 0.000, 0.000], [0.500, 0.500, 0.500], [0.000, 0.500, 0.500], [0.500, 0.000, 0.500], [0.500, 0.500, 0.000], [0.251, 0.251, 0.251], [0.257, 0.257, 0.733], [0.257, 0.733, 0.257], [0.267, 0.743, 0.743], [0.733, 0.257, 0.257], [0.743, 0.267, 0.743], [0.743, 0.743, 0.267], [0.749, 0.749, 0.749]]
}

=====

Record 5
{
  "formula": "Na3LiZr2S6",
  "functional": "PBE-GGA",
  "state": "optimized geometry",
  "e_form_raw_mev_per_atom": -1460,
  "total_energy_ev_per_atom": -5.437,
  "lattice_angstrom": [[3.287, -5.694, 0.000], [3.287, 5.694, 0.000], [-2.197, 0.000, 6.618]],
  "species": ["Na", "Na", "Na", "Li", "Zr", "Zr", "S", "S", "S", "S", "S", "S"],
  "fractional_positions": [[0.000, 0.000, 0.000], [0.338, 0.662, 0.000], [0.662, 0.338, 0.000], [0.500, 0.500, 0.500], [0.167, 0.833, 0.500], [0.833, 0.167, 0.500], [0.080, 0.427, 0.281], [0.226, 0.226, 0.719], [0.427, 0.080, 0.281], [0.573, 0.920, 0.719], [0.774, 0.774, 0.281], [0.920, 0.573, 0.719]]
}

=====

Record 6
{
  "formula": "NaLi2Zr3S6",
  "functional": "PBE-GGA",
  "state": "optimized geometry",
  "e_form_raw_mev_per_atom": -1505,
  "total_energy_ev_per_atom": -6.135,
  "lattice_angstrom": [[8.353, -1.821, 0.000], [8.353, 1.821, 0.000], [-2.427, 0.000, 7.364]],
  "species": ["Na", "Li", "Li", "Zr", "Zr", "Zr", "S", "S", "S", "S", "S", "S"],
  "fractional_positions": [[0.000, 0.000, 0.000], [0.331, 0.331, 0.672], [0.669, 0.669, 0.328], [0.000, 0.000, 0.500], [0.339, 0.339, 0.181], [0.661, 0.661, 0.819], [0.167, 0.167, 0.581], [0.173, 0.173, 0.075], [0.498, 0.498, 0.738], [0.502, 0.502, 0.262], [0.827, 0.827, 0.925], [0.833, 0.833, 0.419]]
}

=====

Record 7
{
  "formula": "Na2LiZr2S6",
  "functional": "PBE-GGA",
  "state": "optimized geometry",
  "e_form_raw_mev_per_atom": -1312,
  "total_energy_ev_per_atom": -5.532,
  "lattice_angstrom": [[3.201, -5.608, 0.000], [3.201, 5.608, 0.000], [-2.071, 0.000, 6.839]],
  "species": ["Na", "Na", "Li", "Zr", "Zr", "S", "S", "S", "S", "S", "S"],
  "fractional_positions": [[0.163, 0.837, 0.000], [0.837, 0.163, 0.000], [0.000, 0.000, 0.500], [0.334, 0.666, 0.500], [0.666, 0.334, 0.500], [0.068, 0.416, 0.716], [0.274, 0.274, 0.285], [0.416, 0.068, 0.716], [0.584, 0.932, 0.284], [0.726, 0.726, 0.715], [0.932, 0.584, 0.284]]
}

=====

Record 8
{
  "formula": "Na2Li5Sb2",
  "functional": "PBE-GGA",
  "state": "optimized geometry",
  "e_above_lowest_polymorph_ev_per_fu": 0.49,
  "e_form_raw_mev_per_atom": -355,
  "total_energy_ev_per_atom": -2.627,
  "lattice_angstrom": [[9.169, -2.609, 0.000], [9.169, 2.609, 0.000], [-1.217, 0.000, 4.566]],
  "species": ["Na", "Na", "Li", "Li", "Li", "Li", "Li", "Sb", "Sb"],
  "fractional_positions": [[0.140, 0.140, 0.141], [0.860, 0.860, 0.859], [0.248, 0.248, 0.749], [0.415, 0.415, 0.916], [0.500, 0.500, 0.500], [0.585, 0.585, 0.084], [0.752, 0.752, 0.251], [0.341, 0.341, 0.342], [0.659, 0.659, 0.658]]
}

=====

Record 9
{
  "formula": "Na3Li4Sb4",
  "functional": "PBE-GGA",
  "state": "optimized geometry",
  "e_form_raw_mev_per_atom": -403,
  "total_energy_ev_per_atom": -2.958,
  "lattice_angstrom": [[-2.358, 3.696, 7.745], [2.358, -3.696, 7.745], [2.358, 3.696, -7.745]],
  "species": ["Na", "Na", "Na", "Li", "Li", "Li", "Li", "Sb", "Sb", "Sb", "Sb"],
  "fractional_positions": [[0.000, 0.000, 0.000], [0.368, 0.868, 0.500], [0.632, 0.132, 0.500], [0.021, 0.323, 0.698], [0.375, 0.677, 0.698], [0.625, 0.323, 0.302], [0.979, 0.677, 0.302], [0.207, 0.207, 0.000], [0.314, 0.500, 0.814], [0.686, 0.500, 0.186], [0.793, 0.793, 0.000]]
}

=====

Record 10
{
  "formula": "Na2LiSb2",
  "functional": "PBE-GGA",
  "state": "optimized geometry",
  "e_above_lowest_polymorph_ev_per_fu": 0.89,
  "e_form_raw_mev_per_atom": -221,
  "total_energy_ev_per_atom": -2.780,
  "lattice_angstrom": [[9.235, 0.000, 0.000], [0.000, 9.235, 0.000], [0.000, 0.000, 3.161]],
  "species": ["Na", "Na", "Na", "Na", "Li", "Li", "Sb", "Sb", "Sb", "Sb"],
  "fractional_positions": [[0.117, 0.383, 0.000], [0.383, 0.883, 0.000], [0.617, 0.117, 0.000], [0.883, 0.617, 0.000], [0.000, 0.000, 0.000], [0.500, 0.500, 0.000], [0.182, 0.682, 0.500], [0.318, 0.182, 0.500], [0.682, 0.818, 0.500], [0.818, 0.318, 0.500]]
}

=====

Record 11
{
  "formula": "Na2Li2Sb",
  "functional": "PBE-GGA",
  "state": "optimized geometry",
  "e_above_lowest_polymorph_ev_per_fu": 1.14,
  "e_form_raw_mev_per_atom": -47,
  "total_energy_ev_per_atom": -2.165,
  "lattice_angstrom": [[7.980, 0.000, 0.000], [0.000, 7.980, 0.000], [0.000, 0.000, 3.957]],
  "species": ["Na", "Na", "Na", "Na", "Li", "Li", "Li", "Li", "Sb", "Sb"],
  "fractional_positions": [[0.133, 0.367, 0.000], [0.367, 0.867, 0.000], [0.633, 0.133, 0.000], [0.867, 0.633, 0.000], [0.176, 0.676, 0.500], [0.324, 0.176, 0.500], [0.676, 0.824, 0.500], [0.824, 0.324, 0.500], [0.000, 0.000, 0.000], [0.500, 0.500, 0.000]]
}

=====

Record 12
{
  "formula": "Na2LiSb2",
  "functional": "PBE-GGA",
  "state": "optimized geometry",
  "e_above_lowest_polymorph_ev_per_fu": 0.00,
  "e_form_raw_mev_per_atom": -399,
  "total_energy_ev_per_atom": -2.958,
  "lattice_angstrom": [[-2.355, 3.119, 4.680], [2.355, -3.119, 4.680], [2.355, 3.119, -4.680]],
  "species": ["Na", "Na", "Li", "Sb", "Sb"],
  "fractional_positions": [[0.195, 0.195, 0.000], [0.805, 0.805, 0.000], [0.500, 0.000, 0.500], [0.238, 0.500, 0.738], [0.762, 0.500, 0.262]]
}